1.
Density functional theory data (PBE) for a relaxed structure of TiSN2Cl.

Lattice parameters (Å, degrees): 3.8150 3.8150 5.5218 90.00 90.00 90.00
Last column: nearest neighbours and their distance in Å.
Atoms (fractional coordinates):
Ti 0.0000 0.0000 0.0000  4 N 1.91
S 0.0000 0.0000 0.5000  4 Cl 2.70, 2 Ti 2.76
N 0.0000 0.5000 0.0000  2 Ti 1.91
N 0.5000 0.0000 0.0000  2 Ti 1.91
Cl 0.5000 0.5000 0.5000  4 S 2.70

## Properties
**Total energy**: -5.53 eV per atom
**Magnetic moment**: 0.000 μB/f.u.
**ΔE to the lowest computed polymorph**: 0.000 eV/atom
**Space group**: P4/mmm
**ΔE_f (raw)**: 0.5778 eV/atom

2.
Density functional theory data (PBE) for a relaxed structure of TlSN2Cl.

Lattice parameters (Å, degrees): 4.4554 4.4554 5.5927 90.00 90.00 90.00
Last column: nearest neighbours and their distance in Å.
Atoms (fractional coordinates):
Tl 0.0000 0.0000 0.0000  4 N 2.23
S 0.0000 0.0000 0.5000  2 Tl 2.80
N 0.0000 0.5000 0.0000  2 Tl 2.23
N 0.5000 0.0000 0.0000  2 Tl 2.23
Cl 0.5000 0.5000 0.5000  4 S 3.15

## Properties
**Total energy**: -3.04 eV per atom
**Magnetic moment**: 4.267 μB/f.u.
**ΔE to the lowest computed polymorph**: 0.000 eV/atom
**Space group**: P4/mmm
**ΔE_f (raw)**: 1.9596 eV/atom

3.
Density functional theory data (PBE) for a relaxed structure of TlS2NCl.

Lattice parameters (Å, degrees): 5.3135 5.3135 5.4727 90.00 90.00 90.00
Last column: nearest neighbours and their distance in Å.
Atoms (fractional coordinates):
Tl 0.0000 0.0000 0.0000  4 S 2.66, 2 Cl 2.74
S 0.0000 0.5000 0.0000  2 Tl 2.66
S 0.5000 0.0000 0.0000  2 Tl 2.66
N 0.5000 0.5000 0.5000  4 Cl 3.76, 8 S 3.81
Cl 0.0000 0.0000 0.5000  2 Tl 2.74

## Properties
**Total energy**: -2.67 eV per atom
**Magnetic moment**: 5.253 μB/f.u.
**ΔE to the lowest computed polymorph**: 0.851 eV/atom
**Space group**: P4/mmm
**ΔE_f (raw)**: 1.4840 eV/atom

4.
Density functional theory data (PBE) for a relaxed structure of TlS2NCl.

Lattice parameters (Å, degrees): 4.0204 4.0204 7.1917 90.00 90.00 90.00
Last column: nearest neighbours and their distance in Å.
Atoms (fractional coordinates):
Tl 0.0000 0.0000 0.0000  4 Cl 2.84
S 0.0000 0.5000 0.5000  2 N 2.01
S 0.5000 0.0000 0.5000  2 N 2.01
N 0.5000 0.5000 0.5000  4 S 2.01
Cl 0.5000 0.5000 0.0000  4 Tl 2.84

## Properties
**Total energy**: -3.53 eV per atom
**Magnetic moment**: 0.000 μB/f.u.
**ΔE to the lowest computed polymorph**: 0.000 eV/atom
**Space group**: P4/mmm
**ΔE_f (raw)**: 0.6325 eV/atom